La3Be2AlPd9: relaxed, PBE-GGA.

formation enthalpy at 0 K	-721	meV/atom
symmetry	No. 164
spin magnetization	0.000	μB/cell

Cell lengths 5.927, 5.927, 9.299 Å; angles 90.00, 90.00, 120.00 degrees
Atoms (fractional coordinates):
1 Pd 0.328 0.164 0.700
2 Pd 0.164 0.836 0.300
3 Pd 0.500 0.000 0.000
4 Pd 0.500 0.500 0.000
5 Pd 0.836 0.164 0.700
6 Pd 0.164 0.328 0.300
7 Pd 0.672 0.836 0.300
8 Pd 0.836 0.672 0.700
9 Pd 0.000 0.500 0.000
10 Be 0.333 0.667 0.153
11 Be 0.667 0.333 0.847
12 La 0.667 0.333 0.341
13 La 0.000 0.000 0.000
14 La 0.333 0.667 0.659
15 Al 0.000 0.000 0.500

***

Zr2AlSi: relaxed, PBE-GGA.

symmetry	No. 164
energy above the lowest structure with this stoichiometry	0.289	eV per atom
spin magnetization	0.000	μB/cell
E_form (uncorrected)	-446	meV per atom

Cell lengths 4.134, 4.134, 5.558 Å; angles 90.00, 90.00, 120.00 degrees
Atoms (fractional coordinates):
1 Zr 0.333 0.667 0.228
2 Zr 0.667 0.333 0.772
3 Si 0.000 0.000 0.000
4 Al 0.000 0.000 0.500

***

FeNiCl: relaxed, PBE-GGA.

symmetry	No. 107
energy above the lowest structure with this stoichiometry	0.100	eV per atom
spin magnetization	3.876	μB/cell
E_form (uncorrected)	281	meV per atom

Cell lengths 5.692, 5.692, 5.692 Å; angles 150.87, 150.87, 41.67 degrees
Each line ends with the local moment (μB).
Atoms (fractional coordinates):
1 Cl 0.983 0.983 0.000  0.11
2 Fe 0.328 0.328 0.000  3.00
3 Ni 0.689 0.689 0.000  0.80

***

ZnFeCl2: relaxed, PBE-GGA.

symmetry	No. 99
energy above the lowest structure with this stoichiometry	0.190	eV per atom
spin magnetization	3.173	μB/cell
E_form (uncorrected)	-171	meV per atom

Cell lengths 3.083, 3.083, 8.294 Å; angles 90.00, 90.00, 90.00 degrees
Each line ends with the local moment (μB).
Atoms (fractional coordinates):
1 Cl 0.500 0.500 0.347  0.16
2 Cl 0.000 0.000 0.911  0.00
3 Fe 0.000 0.000 0.510  3.04
4 Zn 0.500 0.500 0.733  -0.05

***

Question: Which value of spin magnetization does entry 3 give?
Answer: 3.876 μB/cell